Entry 1:
{
  "formula": "YZn5Ag7",
  "functional": "PBE",
  "state": "optimized geometry",
  "cell": [[-1.6446, -4.9693, 0.2723], [5.3388, -4.4530, 1.4250], [-1.8902, -1.7767, 6.6055]],
  "species": ["Ag", "Y", "Ag", "Ag", "Ag", "Zn", "Zn", "Zn", "Zn", "Ag", "Ag", "Zn", "Ag"],
  "fractional_positions": [[0.9993, 0.3469, 0.6546], [0.9969, 0.0031, 0.0031], [0.2798, 0.2202, 0.2202], [0.3407, 0.6593, 0.6593], [0.9993, 0.6546, 0.3469], [0.0014, 0.4998, 0.9964], [0.5024, 0.9964, 0.4998], [0.0014, 0.9964, 0.4998], [0.7202, 0.7798, 0.7798], [0.5040, 0.7906, 0.2013], [0.5040, 0.2013, 0.7906], [0.5024, 0.4998, 0.9964], [0.6481, 0.3519, 0.3519]],
  "rho_g_cm3": 8.530,
  "e_form_ev_per_atom": -0.1454
}

=====

Entry 2:
{
  "formula": "KPu4O12",
  "functional": "PBE",
  "state": "optimized geometry",
  "cell": [[0.2054, -2.4569, 6.7701], [3.3889, 6.3484, -0.3541], [-6.8581, 0.8207, -2.0508]],
  "species": ["O", "Pu", "O", "O", "O", "O", "Pu", "O", "O", "K", "O", "Pu", "O", "O", "O", "Pu", "O"],
  "fractional_positions": [[0.0078, 0.7546, 0.2532], [0.0000, 0.5000, 0.0000], [0.9922, 0.2454, 0.7468], [0.7453, 0.7527, 0.4980], [0.4985, 0.2454, 0.2532], [0.2547, 0.7527, 0.0073], [0.5000, 0.5000, 0.5000], [0.2527, 0.9986, 0.7459], [0.2547, 0.2473, 0.5020], [0.5000, 0.0000, 0.5000], [0.7473, 0.4932, 0.7459], [0.5000, 0.0000, 0.0000], [0.5015, 0.7546, 0.7468], [0.7473, 0.0014, 0.2541], [0.2527, 0.5068, 0.2541], [0.0000, 0.0000, 0.5000], [0.7453, 0.2473, 0.9927]],
  "raw_formation_energy_ev_per_atom": -2.510,
  "rho_g_cm3": 6.961
}

=====

Entry 3:
{
  "formula": "Th2MgCd5",
  "functional": "PBE",
  "state": "optimized geometry",
  "cell": [[6.9825, -0.0060, 0.0046], [-0.0058, 6.9767, 0.0085], [-3.4847, -3.4837, 4.2717]],
  "species": ["Th", "Cd", "Cd", "Th", "Cd", "Cd", "Cd", "Mg"],
  "fractional_positions": [[0.7245, 0.2242, 0.4485], [0.6947, 0.6960, 0.9445], [0.2496, 0.6966, 0.9450], [0.2218, 0.7221, 0.4442], [0.6950, 0.2480, 0.9444], [0.2500, 0.2487, 0.9447], [0.7610, 0.7611, 0.5227], [0.1803, 0.1802, 0.3600]],
  "rho_g_cm3": 8.369,
  "e_form_ev_per_atom": -0.0718
}

=====

Entry 4:
{
  "formula": "Y4In2O",
  "functional": "PBE",
  "state": "optimized geometry",
  "cell": [[6.3877, 0.0000, -0.3114], [0.0000, 6.8765, 0.0000], [-2.7151, 0.0000, 8.6436]],
  "species": ["In", "O", "O", "In", "Y", "Y", "In", "In", "Y", "Y", "Y", "Y", "Y", "Y"],
  "fractional_positions": [[0.1862, 0.2500, 0.4102], [0.3018, 0.7500, 0.2086], [0.6982, 0.2500, 0.7914], [0.8138, 0.7500, 0.5898], [0.4593, 0.0017, 0.7206], [0.5407, 0.9983, 0.2794], [0.3066, 0.2500, 0.9751], [0.6934, 0.7500, 0.0249], [0.8644, 0.2500, 0.0493], [0.0796, 0.7500, 0.3508], [0.1356, 0.7500, 0.9507], [0.4593, 0.4983, 0.7206], [0.9204, 0.2500, 0.6492], [0.5407, 0.5017, 0.2794]],
  "raw_formation_energy_ev_per_atom": -1.136,
  "rho_g_cm3": 5.341,
  "polymorph_energy_mev_per_atom": 0
}

=====

Entry 5:
{
  "formula": "ZrCr2InTe",
  "functional": "PBE",
  "state": "optimized geometry",
  "cell": [[-2.6442, -0.5389, -4.1070], [4.1392, -0.5277, -2.5958], [-0.1819, -5.6465, 0.8580]],
  "species": ["Cr", "Cr", "Te", "In", "Zr"],
  "fractional_positions": [[0.0000, 0.5000, 0.0000], [0.5000, 0.0000, 0.0000], [0.0000, 0.0000, 0.0000], [0.0000, 0.0000, 0.5000], [0.5000, 0.5000, 0.5000]],
  "raw_formation_energy_ev_per_atom": 1.145,
  "rho_g_cm3": 5.266
}

=====

Entry 6:
{
  "formula": "NiSbP",
  "functional": "PBE",
  "state": "optimized geometry",
  "cell": [[0.9815, -1.0817, 6.0891], [-3.0555, 0.0997, 5.4648], [0.4837, -1.5438, -6.0492]],
  "species": ["Ni", "P", "Sb"],
  "fractional_positions": [[0.0296, 0.0296, 0.0000], [0.6164, 0.6164, 0.0000], [0.3539, 0.3539, 0.0000]],
  "raw_formation_energy_ev_per_atom": 0.056,
  "rho_g_cm3": 6.593,
  "polymorph_energy_mev_per_atom": 290
}

=====

Entry 7:
{
  "formula": "RbTiTe2S6",
  "functional": "PBE",
  "state": "optimized geometry",
  "cell": [[6.6725, 0.0002, -0.0020], [-3.3359, 5.7789, 0.0008], [-3.3343, -1.9258, 7.8637]],
  "species": ["Te", "Ti", "S", "S", "S", "S", "Rb", "S", "S", "Te"],
  "fractional_positions": [[0.6231, 0.3110, 0.9201], [0.9712, 0.9851, 0.9421], [0.1690, 0.1924, 0.7664], [0.5881, 0.9757, 0.7664], [0.8376, 0.7622, 0.1507], [0.8048, 0.6115, 0.7664], [0.0064, 0.5027, 0.4951], [0.4025, 0.0743, 0.1507], [0.0905, 0.3271, 0.1507], [0.4722, 0.7356, 0.1938]],
  "raw_formation_energy_ev_per_atom": -0.495,
  "rho_g_cm3": 3.182
}

=====

Entry 8:
{
  "formula": "NdFe2AsN",
  "functional": "PBE",
  "state": "optimized geometry",
  "cell": [[-3.6845, -0.7405, 0.4901], [2.4177, -4.2574, -2.9111], [1.4439, -3.2475, 5.9485]],
  "species": ["Fe", "As", "As", "Fe", "N", "Nd", "Fe", "N", "Nd", "Fe"],
  "fractional_positions": [[0.8396, 0.6793, 0.0537], [0.7282, 0.4564, 0.7500], [0.2718, 0.5436, 0.2500], [0.8396, 0.6793, 0.4463], [0.0000, 0.0000, 0.5000], [0.5486, 0.0972, 0.2500], [0.1604, 0.3207, 0.5537], [0.0000, 0.0000, 0.0000], [0.4514, 0.9028, 0.7500], [0.1604, 0.3207, 0.9463]],
  "raw_formation_energy_ev_per_atom": -0.712,
  "rho_g_cm3": 8.119
}

=====

Entry 9:
{
  "formula": "Ag2AsIr",
  "functional": "PBE",
  "state": "optimized geometry",
  "cell": [[2.8395, 0.0024, 0.0000], [-1.3834, 2.4797, 0.0000], [0.0000, 0.0000, 9.7948]],
  "species": ["Ag", "As", "Ir", "Ag"],
  "fractional_positions": [[0.0000, 0.0000, 0.9946], [0.5000, 0.5000, 0.2500], [0.5000, 0.5000, 0.7500], [0.0000, 0.0000, 0.5054]],
  "rho_g_cm3": 11.621,
  "e_form_ev_per_atom": 0.3951
}

=====

Entry 10:
{
  "formula": "LiAlV3",
  "functional": "PBE",
  "state": "optimized geometry",
  "cell": [[-2.5708, -0.8694, -3.6668], [2.7958, -3.4163, -1.1501], [-2.5268, -2.8954, 2.4581]],
  "species": ["V", "Al", "V", "Li", "V"],
  "fractional_positions": [[0.0000, 0.0000, 0.5000], [0.0000, 0.0000, 0.0000], [0.5000, 0.0000, 0.0000], [0.5000, 0.5000, 0.5000], [0.0000, 0.5000, 0.0000]],
  "rho_g_cm3": 3.266,
  "polymorph_energy_mev_per_atom": 424,
  "e_form_ev_per_atom": 1.3645
}

=====

Entry 11:
{
  "formula": "In5Hg5Ge",
  "functional": "PBE",
  "state": "optimized geometry",
  "cell": [[5.4835, -0.5800, 1.2563], [0.5642, 6.3572, 4.5951], [-0.8817, 1.5253, 9.3408]],
  "species": ["Hg", "In", "Hg", "Hg", "Hg", "Hg", "In", "In", "In", "Ge", "In"],
  "fractional_positions": [[0.5165, 0.4344, 0.3684], [0.9929, 0.0101, 0.6708], [0.0000, 0.5000, 0.5000], [0.5019, 0.1975, 0.2013], [0.4981, 0.8025, 0.7987], [0.4835, 0.5656, 0.6316], [0.5000, 0.0000, 0.0000], [0.0293, 0.5158, 0.1623], [0.9707, 0.4842, 0.8377], [0.0000, 0.0000, 0.0000], [0.0071, 0.9899, 0.3292]],
  "rho_g_cm3": 9.110,
  "e_form_ev_per_atom": 0.0540
}

=====

Entry 12:
{
  "formula": "Re3TcS",
  "functional": "PBE",
  "state": "optimized geometry",
  "cell": [[-4.3962, 1.1955, -1.1282], [-1.5490, -1.9346, 3.9859], [0.5502, 4.1058, 2.2066]],
  "species": ["Tc", "Re", "Re", "S", "Re"],
  "fractional_positions": [[0.0000, 0.0000, 0.0000], [0.5000, 0.0000, 0.0000], [0.0000, 0.0000, 0.5000], [0.5000, 0.5000, 0.5000], [0.0000, 0.5000, 0.0000]],
  "raw_formation_energy_ev_per_atom": 2.493,
  "rho_g_cm3": 11.061,
  "polymorph_energy_mev_per_atom": 1399
}